Record 1
12
Lattice="-3.186 -2.337 4.827 -3.137 -5.453 -0.680 2.757 -7.038 2.443" Properties=species:S:1:pos:R:3 comment="KMo2PbO8 (GGA+U, relaxed)" crystal_system=monoclinic spacegroup="C2/m, No. 12" e_tot_ev_per_atom=-6.394 pbc="T T T"
K -1.783 -7.414 3.295
Mo -1.342 -3.127 1.631
Mo -2.224 -11.700 4.960
Pb 0.000 0.000 0.000
O -2.175 -10.071 5.781
O -3.555 -5.516 3.044
O -1.391 -4.756 0.810
O -0.010 -9.311 3.546
O -1.409 -3.212 3.449
O -2.157 -11.615 3.142
O 0.096 -2.109 1.169
O -3.661 -12.719 5.421


Record 2
11
Lattice="-4.909 -1.957 2.862 4.943 -3.356 0.644 1.599 4.970 3.964" Properties=species:S:1:pos:R:3 comment="K2MoPb2O6 (GGA+U, relaxed)" crystal_system=monoclinic spacegroup="C2/m, No. 12" e_tot_ev_per_atom=-5.669 pbc="T T T"
K -3.219 -2.197 2.482
K 3.254 -3.116 1.024
Mo 0.799 2.485 1.982
Pb 2.429 -0.401 3.372
Pb -0.796 0.058 4.098
O 1.130 -0.906 5.589
O 2.478 2.157 3.026
O 0.504 0.563 1.881
O -0.305 2.552 3.653
O -0.844 -2.500 4.445
O 1.939 -2.895 3.818